Record 1
A plane-wave DFT calculation with PBE was carried out for an optimized crystal structure of Pm3Tm2Ga3.

Properties
mass density: 7.80 g/cm³

Cell: 3.6726 5.2397 11.3259 Å, 103.37 99.33 90.00°
Sites, in units of the cell vectors:
Pm (0.6192, 0.6192, 0.2384)
Pm (0.3808, 0.3808, 0.7616)
Pm (0.5000, 0.0000, 0.0000)
Tm (0.7295, 0.2295, 0.4591)
Tm (0.2705, 0.7705, 0.5409)
Ga (0.1217, 0.1217, 0.2434)
Ga (0.0000, 0.5000, 0.0000)
Ga (0.8783, 0.8783, 0.7566)

***

Record 2
A plane-wave DFT calculation with PBE was carried out for an optimized crystal structure of DyFeC.

Properties
mass density: 8.67 g/cm³
energy above the lowest structure with this stoichiometry: 0 kJ/mol of formula units

Cell: 3.3045 5.6291 5.2785 Å, 107.91 108.24 90.00°
Sites, in units of the cell vectors:
Dy (0.8979, 0.6798, 0.7957)
Dy (0.1021, 0.3202, 0.2043)
Fe (0.6701, 0.8723, 0.3403)
Fe (0.3299, 0.1277, 0.6597)
C (0.2285, 0.7709, 0.4570)
C (0.7715, 0.2291, 0.5430)

***

Record 3
A plane-wave DFT calculation with PBE was carried out for an optimized crystal structure of MgTi2Tc2.

Properties
mass density: 6.36 g/cm³
energy above the lowest structure with this stoichiometry: 21 kJ/mol of formula units

Cell: 7.3565 7.3565 3.0477 Å, 90.00 90.00 90.00°
Sites, in units of the cell vectors:
Mg (0.0000, 0.0000, 0.0000)
Mg (0.5000, 0.5000, 0.0000)
Tc (0.1585, 0.6585, 0.5000)
Tc (0.6585, 0.8415, 0.5000)
Tc (0.8415, 0.3415, 0.5000)
Tc (0.3415, 0.1585, 0.5000)
Ti (0.3609, 0.8609, 0.0000)
Ti (0.8609, 0.6391, 0.0000)
Ti (0.6391, 0.1391, 0.0000)
Ti (0.1391, 0.3609, 0.0000)

***

| no. | energy relative to the elements (meV/atom) | N(E_F) (states/eV/atom) |
| --- | --- | --- |
| 1 | -428 | 0.83 |
| 2 | -174 | 0.92 |
| 3 | -23 | 0.75 |